Entry one
Below is an optimized crystal structure of Dy4Ho5Tl, with properties calculated at the GGA-PBE level.

Structure (CIF):
```
data_Dy4Ho5Tl
_chemical_formula_sum 'Dy8 Ho10 Tl2'
_cell_length_a 10.573
_cell_length_b 10.573
_cell_length_c 5.775
_cell_angle_alpha 90.00
_cell_angle_beta 90.00
_cell_angle_gamma 90.00
_symmetry_space_group_name_H-M 'I 4 m m'
_symmetry_Int_Tables_number 107
_symmetry_space_group_name_Hall 'I 4 -2'
loop_
_atom_site_label
_atom_site_type_symbol
_atom_site_fract_x
_atom_site_fract_y
_atom_site_fract_z
Dy1 Dy 0.000 0.317 0.000
Ho1 Ho 0.000 0.000 0.798
Ho2 Ho 0.186 0.186 0.508
Tl1 Tl 0.000 0.000 0.280
```

Size of the total moment   0.000 μB per atom
Mass density   8.64 g cm⁻³

---

Entry two
Below is an optimized crystal structure of Dy4Ho5Tl, with properties calculated at the GGA-PBE level.

Structure (CIF):
```
data_Dy4Ho5Tl
_chemical_formula_sum 'Dy4 Ho5 Tl1'
_cell_length_a 3.544
_cell_length_b 3.544
_cell_length_c 24.308
_cell_angle_alpha 90.00
_cell_angle_beta 90.00
_cell_angle_gamma 90.00
_symmetry_space_group_name_H-M 'P 4/m m m'
_symmetry_Int_Tables_number 123
_symmetry_space_group_name_Hall '-P 4 2'
loop_
_atom_site_label
_atom_site_type_symbol
_atom_site_fract_x
_atom_site_fract_y
_atom_site_fract_z
Dy1 Dy 0.000 0.000 0.103
Dy2 Dy 0.000 0.000 0.309
Ho1 Ho 0.500 0.500 0.000
Ho2 Ho 0.500 0.500 0.206
Ho3 Ho 0.500 0.500 0.412
Tl1 Tl 0.000 0.000 0.500
```

Size of the total moment   0.000 μB per atom
Mass density   9.13 g cm⁻³

---

Which of the structures shown above is the most stable? The most stable is entry two.